No. 1
The following is a DFT calculation (meta-GGA SCAN) of a PBEsol-optimized structure of SrZnAu2.

Output
Its energy relative to the elements is -0.631 eV per atom. The calculation puts the magnetization at 0.000 μB per atom. The density of states at the Fermi level is 1.54 states/eV/cell. The calculated total energy is -176.63 eV/cell.

Unit cell a=4.4678 b=4.4678 c=5.8987 alpha=67.75 beta=67.75 gamma=60.00
Positions (direct):
Sr: 0.5001 0.5001 0.4996
Zn: 0.3018 0.3018 0.0946
Au: 0.9653 0.9653 0.1040
Au: 0.7031 0.7031 0.8907

---

No. 2
The following is a DFT calculation (meta-GGA SCAN) of a PBEsol-optimized structure of Sr2ZnAu.

Output
The energy above the lowest structure with this stoichiometry comes out at 70 meV/atom. Its energy relative to the elements is -0.539 eV per atom. The calculation puts the magnetization at 0.000 μB per atom. The density of states at the Fermi level is 3.27 states/eV/cell. The calculated total energy is -129.38 eV/cell.

Unit cell a=3.8095 b=3.8095 c=7.5067 alpha=90.00 beta=90.00 gamma=90.00
Positions (direct):
Sr: 0.0000 0.0000 0.2435
Sr: 0.0000 0.0000 0.7565
Zn: 0.5000 0.5000 0.5000
Au: 0.5000 0.5000 0.0000

---

No. 3
The following is a DFT calculation (meta-GGA SCAN) of a PBEsol-optimized structure of SrZnAu2.

Output
Its energy relative to the elements is -0.652 eV per atom. The calculation puts the magnetization at 0.000 μB per atom. The density of states at the Fermi level is 1.65 states/eV/cell. The calculated total energy is -176.71 eV/cell.

Unit cell a=3.9824 b=4.7163 c=5.0663 alpha=90.00 beta=90.00 gamma=90.00
Positions (direct):
Sr: 0.5000 0.0000 0.5285
Zn: 0.0000 0.5000 0.2242
Au: 0.0000 0.0000 0.0271
Au: 0.0000 0.5000 0.7201

---

No. 4
The following is a DFT calculation (meta-GGA SCAN) of a PBEsol-optimized structure of Sr2ZnAu.

Output
The energy above the lowest structure with this stoichiometry comes out at 0 meV/atom. Its energy relative to the elements is -0.609 eV per atom. The calculation puts the magnetization at 0.000 μB per atom. The density of states at the Fermi level is 2.35 states/eV/cell. The calculated total energy is -129.66 eV/cell.

Unit cell a=4.4452 b=4.5379 c=6.1762 alpha=90.00 beta=111.09 gamma=90.00
Positions (direct):
Sr: 0.9821 0.5000 0.9642
Sr: 0.2671 0.0000 0.5342
Zn: 0.5639 0.0000 0.1278
Au: 0.6869 0.5000 0.3738

---

No. 5
The following is a DFT calculation (meta-GGA SCAN) of a PBEsol-optimized structure of Sr2ZnAu.

Output
The energy above the lowest structure with this stoichiometry comes out at 80 meV/atom. Its energy relative to the elements is -0.529 eV per atom. The calculation puts the magnetization at 0.000 μB per atom. The density of states at the Fermi level is 3.07 states/eV/cell. The calculated total energy is -129.34 eV/cell.

Unit cell a=5.3551 b=5.3550 c=5.3550 alpha=59.99 beta=60.00 gamma=60.00
Positions (direct):
Sr: 0.2500 0.7500 0.7500
Sr: 0.7500 0.2500 0.2500
Zn: 0.5000 0.0000 0.0000
Au: 0.0000 0.5000 0.5000

---

No. 6
The following is a DFT calculation (meta-GGA SCAN) of a PBEsol-optimized structure of SrZn2Au.

Output
Its energy relative to the elements is -0.505 eV per atom. The calculation puts the magnetization at 0.000 μB per atom. The density of states at the Fermi level is 1.75 states/eV/cell. The calculated total energy is -120.48 eV/cell.

Unit cell a=4.4274 b=4.4274 c=5.8422 alpha=67.73 beta=67.73 gamma=60.00
Positions (direct):
Sr: 0.0000 0.0000 0.0000
Zn: 0.1992 0.1992 0.4022
Zn: 0.8008 0.8008 0.5978
Au: 0.5000 0.5000 0.5000

---

No. 7
The following is a DFT calculation (meta-GGA SCAN) of a PBEsol-optimized structure of SrZn2Au.

Output
Its energy relative to the elements is -0.523 eV per atom. The calculation puts the magnetization at 0.000 μB per atom. The density of states at the Fermi level is 1.70 states/eV/cell. The calculated total energy is -120.56 eV/cell.

Unit cell a=4.4365 b=4.4405 c=5.9030 alpha=112.03 beta=90.00 gamma=119.97
Positions (direct):
Sr: 0.2458 0.4916 0.7381
Zn: 0.0526 0.1052 0.1571
Zn: 0.7588 0.5176 0.2764
Au: 0.4428 0.8857 0.3283

---

No. 8
The following is a DFT calculation (meta-GGA SCAN) of a PBEsol-optimized structure of SrZnAu.

Output
Its energy relative to the elements is -0.715 eV per atom. The calculation puts the magnetization at 0.000 μB per atom. The density of states at the Fermi level is 1.25 states/eV/cell. The calculated total energy is -107.09 eV/cell.

Unit cell a=4.1880 b=4.4813 c=4.4813 alpha=120.00 beta=90.00 gamma=90.00
Positions (direct):
Sr: 0.0000 0.3333 0.6667
Zn: 0.5000 0.6667 0.3333
Au: 0.5000 0.0000 0.0000

---

No. 9
The following is a DFT calculation (meta-GGA SCAN) of a PBEsol-optimized structure of SrZnAu2.

Output
Its energy relative to the elements is -0.700 eV per atom. The calculation puts the magnetization at 0.000 μB per atom. The density of states at the Fermi level is 1.42 states/eV/cell. The calculated total energy is -176.91 eV/cell.

Unit cell a=4.4920 b=4.4920 c=5.8027 alpha=67.23 beta=67.23 gamma=60.00
Positions (direct):
Sr: 0.5000 0.5000 0.5000
Zn: 0.0000 0.0000 0.0000
Au: 0.7052 0.7052 0.8843
Au: 0.2948 0.2948 0.1157

---

No. 10
The following is a DFT calculation (meta-GGA SCAN) of a PBEsol-optimized structure of TaAu2.

Output
Its energy relative to the elements is -0.137 eV per atom. The calculation puts the magnetization at 0.000 μB per atom. The density of states at the Fermi level is 2.92 states/eV/cell. The calculated total energy is -410.62 eV/cell.

Unit cell a=2.8637 b=2.8637 c=12.9935 alpha=96.33 beta=96.33 gamma=90.00
Positions (direct):
Au: 0.6725 0.1725 0.3449
Au: 0.8275 0.3275 0.6551
Au: 0.4225 0.4225 0.8449
Au: 0.5775 0.5775 0.1551
Ta: 0.0000 0.0000 0.0000
Ta: 0.2500 0.7500 0.5000

---

No. 11
The following is a DFT calculation (meta-GGA SCAN) of a PBEsol-optimized structure of TaAu3.

Output
Its energy relative to the elements is -0.150 eV per atom. The calculation puts the magnetization at 0.000 μB per atom. The density of states at the Fermi level is 1.69 states/eV/cell. The calculated total energy is -274.65 eV/cell.

Unit cell a=2.9022 b=2.9022 c=8.0522 alpha=90.00 beta=90.00 gamma=90.00
Positions (direct):
Au: 0.0000 0.0000 0.7563
Au: 0.0000 0.0000 0.2437
Au: 0.5000 0.5000 0.5000
Ta: 0.5000 0.5000 0.0000

---

No. 12
The following is a DFT calculation (meta-GGA SCAN) of a PBEsol-optimized structure of TaAu3.

Output
Its energy relative to the elements is -0.058 eV per atom. The calculation puts the magnetization at 0.000 μB per atom. The density of states at the Fermi level is 2.06 states/eV/cell. The calculated total energy is -274.29 eV/cell.

Unit cell a=2.8342 b=4.9390 c=5.0916 alpha=97.55 beta=90.00 gamma=106.67
Positions (direct):
Au: 0.7548 0.5095 0.7586
Au: 0.2452 0.4905 0.2414
Au: 0.0000 0.0000 0.5000
Ta: 0.5000 0.0000 0.0000

---

No. 13
The following is a DFT calculation (meta-GGA SCAN) of a PBEsol-optimized structure of TaAu3.

Output
Its energy relative to the elements is -0.054 eV per atom. The calculation puts the magnetization at 0.000 μB per atom. The density of states at the Fermi level is 2.21 states/eV/cell. The calculated total energy is -274.27 eV/cell.

Unit cell a=2.9115 b=2.9115 c=9.4656 alpha=81.15 beta=81.15 gamma=60.00
Positions (direct):
Au: 0.2513 0.2513 0.2460
Au: 0.5000 0.5000 0.5000
Au: 0.7487 0.7487 0.7540
Ta: 0.0000 0.0000 0.0000

---

No. 14
The following is a DFT calculation (meta-GGA SCAN) of a PBEsol-optimized structure of Ta5Au.

Output
The energy above the lowest structure with this stoichiometry comes out at 0 meV/atom. Its energy relative to the elements is -0.082 eV per atom. The calculation puts the magnetization at 0.000 μB per atom. The density of states at the Fermi level is 5.29 states/eV/cell. The calculated total energy is -402.57 eV/cell.

Unit cell a=3.4259 b=4.5696 c=6.8793 alpha=90.00 beta=104.42 gamma=90.00
Positions (direct):
Au: 0.5000 0.0000 0.0000
Ta: 0.3343 0.5000 0.6686
Ta: 0.1669 0.0000 0.3338
Ta: 0.0000 0.5000 0.0000
Ta: 0.8331 0.0000 0.6662
Ta: 0.6657 0.5000 0.3314

---

No. 15
The following is a DFT calculation (meta-GGA SCAN) of a PBEsol-optimized structure of Ta3Au4.

Output
Its energy relative to the elements is -0.161 eV per atom. The calculation puts the magnetization at 0.000 μB per atom. The density of states at the Fermi level is 4.83 states/eV/cell. The calculated total energy is -477.51 eV/cell.

Unit cell a=3.4120 b=3.4120 c=10.5320 alpha=99.32 beta=99.32 gamma=90.00
Positions (direct):
Au: 0.1408 0.1408 0.2815
Au: 0.4290 0.4290 0.8580
Au: 0.5710 0.5710 0.1420
Au: 0.8592 0.8592 0.7185
Ta: 0.0000 0.0000 0.0000
Ta: 0.2860 0.2860 0.5720
Ta: 0.7140 0.7140 0.4280